(1)
An optimized crystal structure of Tb7Co2Au2. Source: Alexandria, functional PBE-GGA.

Unit cell a=7.6333 b=10.8336 c=6.9202 alpha=90.00 beta=90.00 gamma=90.00
Space group Cmmm (No. 65)
Symmetry-distinct sites (fractional):
1 Tb 0.0000 0.0000 0.0000 [2 per cell]
2 Tb 0.0000 0.5000 0.2426 [4 per cell]
3 Tb 0.2500 0.2500 0.2505 [8 per cell]
4 Co 0.0000 0.2938 0.0000 [4 per cell]
5 Au 0.1857 0.0000 0.5000 [4 per cell]

Energy of formation from the pure elements   -311 kJ/mol of formula units
Theoretical density   9.4 g cm⁻³

(2)
An optimized crystal structure of Tb2CoAu. Source: Alexandria, functional PBE-GGA.

Unit cell a=3.4478 b=3.4478 c=7.2045 alpha=90.00 beta=90.00 gamma=90.00
Space group P4/mmm (No. 123)
Symmetry-distinct sites (fractional):
1 Tb 0.0000 0.0000 0.2304 [2 per cell]
2 Co 0.5000 0.5000 0.0000 [1 per cell]
3 Au 0.5000 0.5000 0.5000 [1 per cell]

Energy of formation from the pure elements   -182 kJ/mol of formula units
Theoretical density   11.1 g cm⁻³

(3)
An optimized crystal structure of Tb4CoAu. Source: Alexandria, functional PBE-GGA.

Unit cell a=8.7612 b=13.3566 c=6.0994 alpha=90.00 beta=119.84 gamma=90.00
Space group C2/c (No. 15)
Symmetry-distinct sites (fractional):
1 Tb 0.1185 0.1787 0.0881 [8 per cell]
2 Tb 0.2195 0.4360 0.3076 [8 per cell]
3 Co 0.0000 0.0009 0.2500 [4 per cell]
4 Au 0.0000 0.3701 0.7500 [4 per cell]

Energy of formation from the pure elements   -200 kJ/mol of formula units
Theoretical density   9.6 g cm⁻³

(4)
An optimized crystal structure of Tb2CoAu. Source: Alexandria, functional PBE-GGA.

Unit cell a=3.8141 b=3.8141 c=26.1678 alpha=90.00 beta=90.00 gamma=120.00
Space group R-3m (No. 166, hexagonal axes)
Symmetry-distinct sites (fractional):
1 Tb 0.0000 0.0000 0.1102 [6 per cell]
2 Co 0.0000 0.0000 0.5000 [3 per cell]
3 Au 0.0000 0.0000 0.0000 [3 per cell]

Energy of formation from the pure elements   9 kJ/mol of formula units
Theoretical density   8.7 g cm⁻³

(5)
An optimized crystal structure of Tb8CoAu2. Source: Alexandria, functional PBE-GGA.

Unit cell a=17.3358 b=5.1257 c=6.7763 alpha=90.00 beta=104.14 gamma=90.00
Space group C2/m (No. 12)
Symmetry-distinct sites (fractional):
1 Tb 0.0279 0.0000 0.2872 [4 per cell]
2 Tb 0.0877 0.5000 0.9356 [4 per cell]
3 Tb 0.1562 0.5000 0.4680 [4 per cell]
4 Tb 0.2035 0.0000 0.8149 [4 per cell]
5 Co 0.0000 0.5000 0.5000 [2 per cell]
6 Au 0.1900 0.0000 0.2302 [4 per cell]

Energy of formation from the pure elements   -356 kJ/mol of formula units
Theoretical density   9.8 g cm⁻³

(6)
An optimized crystal structure of Tb4CoAu3. Source: Alexandria, functional PBE-GGA.

Unit cell a=3.5367 b=3.5367 c=14.4197 alpha=90.00 beta=90.00 gamma=90.00
Space group P4/mmm (No. 123)
Symmetry-distinct sites (fractional):
1 Tb 0.0000 0.0000 0.1139 [2 per cell]
2 Tb 0.0000 0.0000 0.3709 [2 per cell]
3 Co 0.5000 0.5000 0.0000 [1 per cell]
4 Au 0.5000 0.5000 0.2436 [2 per cell]
5 Au 0.5000 0.5000 0.5000 [1 per cell]

Energy of formation from the pure elements   -508 kJ/mol of formula units
Theoretical density   11.8 g cm⁻³

(7)
An optimized crystal structure of Tb12CoAu6. Source: Alexandria, functional PBE-GGA.

Unit cell a=12.5518 b=12.5518 c=12.1459 alpha=90.00 beta=90.00 gamma=120.00
Space group R-3 (No. 148, hexagonal axes)
Symmetry-distinct sites (fractional):
1 Tb 0.0305 0.8192 0.3962 [18 per cell]
2 Tb 0.0533 0.8570 0.8838 [18 per cell]
3 Co 0.0000 0.0000 0.0000 [3 per cell]
4 Au 0.0490 0.7745 0.6446 [18 per cell]

Energy of formation from the pure elements   -826 kJ/mol of formula units
Theoretical density   9.5 g cm⁻³

(8)
An optimized crystal structure of Tb3CoAu. Source: Alexandria, functional PBE-GGA.

Unit cell a=8.2001 b=3.8216 c=8.2680 alpha=90.00 beta=109.19 gamma=90.00
Space group P2_1/m (No. 11)
Symmetry-distinct sites (fractional):
1 Tb 0.0559 0.2500 0.2372 [2 per cell]
2 Tb 0.3146 0.2500 0.9563 [2 per cell]
3 Tb 0.3310 0.7500 0.6012 [2 per cell]
4 Co 0.0636 0.2500 0.5819 [2 per cell]
5 Au 0.3561 0.7500 0.2371 [2 per cell]

Energy of formation from the pure elements   -209 kJ/mol of formula units
Theoretical density   9.9 g cm⁻³

(9)
An optimized crystal structure of Tb5Co2Au2. Source: Alexandria, functional PBE-GGA.

Unit cell a=15.6858 b=7.2691 c=7.3477 alpha=90.00 beta=90.00 gamma=90.00
Space group Cmce (No. 64)
Symmetry-distinct sites (fractional):
1 Tb 0.0000 0.0000 0.0000 [4 per cell]
2 Tb 0.1285 0.1780 0.3216 [16 per cell]
3 Co 0.0000 0.1092 0.6109 [8 per cell]
4 Au 0.2132 0.0000 0.0000 [8 per cell]

Energy of formation from the pure elements   -406 kJ/mol of formula units
Theoretical density   10.4 g cm⁻³

(10)
An optimized crystal structure of Tb6CoAu2. Source: Alexandria, functional PBE-GGA.

Unit cell a=6.7679 b=7.2765 c=11.9849 alpha=90.00 beta=123.92 gamma=90.00
Space group P2_1/c (No. 14)
Symmetry-distinct sites (fractional):
1 Tb 0.1222 0.0203 0.2498 [4 per cell]
2 Tb 0.2356 0.6847 0.0594 [4 per cell]
3 Tb 0.3769 0.1900 0.0594 [4 per cell]
4 Co 0.5000 0.0000 0.5000 [2 per cell]
5 Au 0.2958 0.1052 0.7493 [4 per cell]

Energy of formation from the pure elements   -368 kJ/mol of formula units
Theoretical density   9.5 g cm⁻³

(11)
An optimized crystal structure of Tb4CoAu. Source: Alexandria, functional PBE-GGA.

Unit cell a=6.0985 b=3.9901 c=7.5654 alpha=90.00 beta=112.81 gamma=90.00
Space group P2/m (No. 10)
Symmetry-distinct sites (fractional):
1 Tb 0.2462 0.0000 0.2734 [2 per cell]
2 Tb 0.2496 0.5000 0.7094 [2 per cell]
3 Co 0.5000 0.5000 0.5000 [1 per cell]
4 Au 0.5000 0.0000 0.0000 [1 per cell]

Energy of formation from the pure elements   -163 kJ/mol of formula units
Theoretical density   8.7 g cm⁻³

(12)
An optimized crystal structure of Tb8Co2Au. Source: Alexandria, functional PBE-GGA.

Unit cell a=8.3935 b=12.8665 c=5.5254 alpha=90.00 beta=105.36 gamma=90.00
Space group C2/m (No. 12)
Symmetry-distinct sites (fractional):
1 Tb 0.0000 0.2372 0.0000 [4 per cell]
2 Tb 0.1219 0.5000 0.8087 [4 per cell]
3 Tb 0.2032 0.1298 0.5821 [8 per cell]
4 Co 0.0000 0.3010 0.5000 [4 per cell]
5 Au 0.0000 0.0000 0.0000 [2 per cell]

Energy of formation from the pure elements   -154 kJ/mol of formula units
Theoretical density   9.2 g cm⁻³

Among the records above, which one has the highest theoretical density? Tb4CoAu3

Repeat the seventh record exactly.
An optimized crystal structure of Tb12CoAu6. Source: Alexandria, functional PBE-GGA.

Unit cell a=12.5518 b=12.5518 c=12.1459 alpha=90.00 beta=90.00 gamma=120.00
Space group R-3 (No. 148, hexagonal axes)
Symmetry-distinct sites (fractional):
1 Tb 0.0305 0.8192 0.3962 [18 per cell]
2 Tb 0.0533 0.8570 0.8838 [18 per cell]
3 Co 0.0000 0.0000 0.0000 [3 per cell]
4 Au 0.0490 0.7745 0.6446 [18 per cell]

Energy of formation from the pure elements   -826 kJ/mol of formula units
Theoretical density   9.5 g cm⁻³

The highest energy of formation from the pure elements belongs to which entry? number 4

energy of formation from the pure elements of number 3 (Tb4CoAu)? -200 kJ/mol of formula units